Here is a relaxed Li4Si2IrAu crystal from OQMD. Energies are from GGA-PBE.

The structure in POSCAR format:
```
Li4Si2IrAu
1.0
-0.1918 3.5495 2.2202
0.8068 -2.1495 3.5062
5.8519 0.8374 -0.8332
Au Ir Li Si
1 1 4 2
Cartesian
0.0000 0.0000 0.0000 Au
3.2335 1.1187 2.4465 Ir
0.3075 0.7000 2.8632 Li
1.8569 -0.8668 1.5461 Li
2.9260 0.4187 -0.4166 Li
4.3026 2.4041 0.4838 Li
1.5560 2.0111 0.8749 Si
4.6034 -0.4737 1.1551 Si
```

Calculated values
The energy is -34.6 eV for the cell shown. As for the total moment: 0.00 μB/f.u.

---

Here is a relaxed Li4Sn2IrAu crystal from OQMD. Energies are from GGA-PBE.

The structure in POSCAR format:
```
Li4Sn2IrAu
1.0
4.5095 0.0000 0.0000
0.0000 4.5095 0.0000
0.0000 0.0000 6.3895
Au Ir Li Sn
1 1 4 2
Cartesian
0.0000 0.0000 3.1948 Au
2.2547 2.2547 0.0000 Ir
0.0000 0.0000 0.0000 Li
0.0000 2.2547 1.5842 Li
2.2547 2.2547 3.1948 Li
2.2547 0.0000 4.8053 Li
2.2547 0.0000 1.4697 Sn
0.0000 2.2547 4.9199 Sn
```

Calculated values
The energy is -31.5 eV for the cell shown. As for the total moment: 0.01 μB/f.u.